Record 1
TlCdSn2Cl6, relaxed, DFT PBE; space group = P1; electronic total energy = -31.08 eV per cell
1.0
7.4051 -0.1596 0.0985
-3.8382 7.4958 0.6486
-3.5777 -1.8172 6.0144
Tl Cd Sn Cl
1 1 2 6
direct
0.0017 0.4943 0.4787 Tl
0.2217 0.1382 0.3050 Cd
0.6262 0.8052 0.3585 Sn
0.5377 0.1886 0.7899 Sn
0.4790 0.8742 0.7331 Cl
0.4751 0.1593 0.1334 Cl
0.8686 0.7780 0.2012 Cl
0.0214 0.3268 0.0772 Cl
0.7303 0.6065 0.6230 Cl
0.0039 0.1067 0.6025 Cl

Record 2
LiZrAs2, relaxed, DFT PBE; space group = I-4m2; ΔE to the lowest computed polymorph = 15.0 kJ/mol of atoms; energy of formation = -2.62 eV/f.u.; electronic total energy = -22.38 eV per cell
1.0
5.4888 -0.0021 0.0009
2.7736 4.7364 -0.0009
-4.1314 -2.3668 2.7307
As Li Zr
2 1 1
direct
0.9999 0.9999 0.0000 As
0.7499 0.2499 0.5000 As
0.5002 0.5002 0.0000 Li
0.2500 0.7500 0.5000 Zr

Record 3
Ce3TaO7, relaxed, DFT PBE; space group = C222_1; ΔE to the lowest computed polymorph = 0.0 kJ/mol of atoms; electronic total energy = -200.62 eV per cell
1.0
6.6628 0.0277 0.0000
-2.2816 6.2600 0.0000
0.0000 0.0000 7.7548
Ce Ta O
6 2 14
direct
0.4989 0.4989 0.5000 Ce
0.5011 0.5011 0.0000 Ce
0.5310 0.9996 0.2504 Ce
0.4690 0.0004 0.7504 Ce
0.9996 0.5310 0.7496 Ce
0.0004 0.4690 0.2496 Ce
0.0000 0.0000 0.5000 Ta
0.0000 0.0000 0.0000 Ta
0.6830 0.9306 0.5298 O
0.3170 0.0694 0.0298 O
0.9306 0.6830 0.4702 O
0.0694 0.3170 0.9702 O
0.0707 0.3179 0.5291 O
0.9293 0.6821 0.0291 O
0.3179 0.0707 0.4709 O
0.6821 0.9293 0.9709 O
0.3712 0.6288 0.2500 O
0.6288 0.3712 0.7500 O
0.6362 0.3638 0.2500 O
0.3638 0.6362 0.7500 O
0.9451 0.0549 0.2500 O
0.0549 0.9451 0.7500 O

Record 4
OsClO2, relaxed, DFT PBE; space group = I4_1/amd; ΔE to the lowest computed polymorph = 0.0 kJ/mol of atoms; electronic total energy = -47.94 eV per cell
1.0
5.9904 0.0000 0.0000
0.0000 5.9904 0.0000
2.9952 2.9952 4.2083
Os O Cl
2 4 2
direct
0.0000 0.0000 0.0000 Os
0.7500 0.2500 0.5000 Os
0.8748 0.1250 0.2500 O
0.8752 0.6250 0.2500 O
0.3750 0.1252 0.7500 O
0.8750 0.1248 0.7500 O
0.5000 0.5000 0.0000 Cl
0.2500 0.7500 0.5000 Cl

Record 5
Ca3SbP, relaxed, DFT PBE; space group = Pnma; ΔE to the lowest computed polymorph = 0.0 kJ/mol of atoms; electronic total energy = -84.03 eV per cell
1.0
7.8138 0.0000 0.0000
0.0000 10.6036 0.0000
0.0000 0.0000 7.4508
Sb Ca P
4 12 4
direct
0.5665 0.2500 0.4816 Sb
0.9335 0.7500 0.9816 Sb
0.4335 0.7500 0.5184 Sb
0.0665 0.2500 0.0184 Sb
0.1966 0.9452 0.8063 Ca
0.3034 0.4452 0.3063 Ca
0.3034 0.0548 0.3063 Ca
0.8034 0.4452 0.1937 Ca
0.8034 0.0548 0.1937 Ca
0.6966 0.5548 0.6937 Ca
0.6966 0.9452 0.6937 Ca
0.1966 0.5548 0.8063 Ca
0.4556 0.2500 0.8919 Ca
0.0444 0.7500 0.3919 Ca
0.5444 0.7500 0.1081 Ca
0.9556 0.2500 0.6081 Ca
0.0000 0.0000 0.5000 P
0.5000 0.5000 0.0000 P
0.5000 0.0000 0.0000 P
0.0000 0.5000 0.5000 P

Record 6
Pm2LuBi, relaxed, DFT PBE; space group = Fm-3m; ΔE to the lowest computed polymorph = 18.8 kJ/mol of atoms; energy of formation = -0.80 eV/f.u.; electronic total energy = -18.70 eV per cell
1.0
5.5526 0.0000 0.0000
2.7763 4.8087 0.0000
2.7763 1.6029 4.5336
Lu Bi Pm
1 1 2
direct
0.0000 0.0000 0.0000 Lu
0.5000 0.5000 0.5000 Bi
0.2500 0.2500 0.2500 Pm
0.7500 0.7500 0.7500 Pm

Record 7
PmNdY2Er2, relaxed, DFT PBE; space group = Pnnm; energy of formation = 1.73 eV/f.u.; electronic total energy = -59.68 eV per cell
1.0
3.4016 0.0000 0.0000
0.0000 6.6896 0.0000
0.0000 0.0000 17.6617
Pm Nd Y Er
2 2 4 4
direct
0.0000 0.0000 0.0000 Pm
0.5000 0.5000 0.5000 Pm
0.5000 0.5000 0.0000 Nd
0.0000 0.0000 0.5000 Nd
0.5000 0.7662 0.3458 Y
0.5000 0.2338 0.6542 Y
0.0000 0.7338 0.8458 Y
0.0000 0.2662 0.1542 Y
0.5000 0.2641 0.3228 Er
0.0000 0.7641 0.1772 Er
0.5000 0.7359 0.6772 Er
0.0000 0.2359 0.8228 Er

Record 8
Ca3CN, relaxed, DFT PBE; space group = Pm-3m; ΔE to the lowest computed polymorph = 0.0 kJ/mol of atoms; electronic total energy = -22.73 eV per cell
1.0
4.6601 0.0000 0.0000
0.0000 4.6601 0.0000
0.0000 0.0000 4.6601
Ca C N
3 1 1
direct
0.0000 0.5000 0.0000 Ca
0.0000 0.0000 0.5000 Ca
0.5000 0.0000 0.0000 Ca
0.5000 0.5000 0.5000 C
0.0000 0.0000 0.0000 N

Record 9
TlInBi2O, relaxed, DFT PBE; space group = P4/mmm; electronic total energy = -16.13 eV per cell
1.0
-5.3226 1.5321 -2.5434
-0.2708 -3.7456 -1.6896
-2.9420 -2.0165 4.9421
Tl Bi O In
1 2 1 1
direct
0.0000 0.0000 0.0000 Tl
0.0000 0.0000 0.5000 Bi
0.5000 0.0000 0.0000 Bi
0.0000 0.5000 0.0000 O
0.5000 0.5000 0.5000 In

Record 10
TlSb2Pb9, relaxed, DFT PBE; space group = P2/m; electronic total energy = -42.94 eV per cell
1.0
7.1690 0.0022 0.8348
-0.0019 5.8687 0.0028
3.3052 -0.0035 9.6277
Tl Sb Pb
1 2 9
direct
0.0000 0.0000 0.0000 Tl
0.9963 0.0000 0.3399 Sb
0.0037 0.0000 0.6601 Sb
0.5000 0.5000 0.0000 Pb
0.5026 0.5000 0.3328 Pb
0.4974 0.5000 0.6672 Pb
0.4687 0.0000 0.1773 Pb
0.5000 0.0000 0.5000 Pb
0.5313 0.0000 0.8227 Pb
0.9988 0.5000 0.1723 Pb
0.0000 0.5000 0.5000 Pb
0.0012 0.5000 0.8277 Pb

Record 11
Mg2Sc2Pt3, relaxed, DFT PBE; space group = P-1; energy of formation = -7.08 eV/f.u.; electronic total energy = -41.05 eV per cell
1.0
4.4363 -0.0055 -1.2419
-2.3946 3.9294 0.0006
-0.2548 -0.1481 7.6735
Mg Sc Pt
2 2 3
direct
0.2613 0.1307 0.3905 Mg
0.7387 0.8693 0.6095 Mg
0.7664 0.3837 0.1497 Sc
0.2336 0.6163 0.8503 Sc
0.0000 0.0000 0.0000 Pt
0.5100 0.2549 0.7647 Pt
0.4900 0.7451 0.2353 Pt

Record 12
CaInSi2Pt5, relaxed, DFT PBE; space group = P4/mmm; electronic total energy = -52.09 eV per cell
1.0
-2.1018 -0.4242 3.4502
0.3630 -4.0366 -0.2752
9.3301 0.4478 5.7387
Ca In Si Pt
1 1 2 5
direct
0.0000 0.0000 0.5000 Ca
0.0000 0.0000 0.0000 In
0.5000 0.5000 0.2872 Si
0.5000 0.5000 0.7128 Si
0.0000 0.5000 0.1748 Pt
0.5000 0.0000 0.1748 Pt
0.0000 0.5000 0.8252 Pt
0.5000 0.0000 0.8252 Pt
0.5000 0.5000 0.5000 Pt